# NaVSnO5

Crystalline NaVSnO5 at its relaxed geometry (GGA+U, the Alexandria database).

Unit cell a=7.1396 b=9.2305 c=7.3838 alpha=90.00 beta=113.54 gamma=90.00
Last column: nearest neighbours and their distance in Å.
Space group C2/c (No. 15)
Symmetry-distinct sites (fractional):
Na1 0.0000 0.1733 0.2500 (multiplicity 4)  1 O 2.27
V1 0.0000 0.1749 0.7500 (multiplicity 4)  4 O 1.74-1.75
Sn1 0.0000 0.5000 0.0000 (multiplicity 4)  6 O 1.99-2.14
O1 0.0000 0.4194 0.2500 (multiplicity 4)  2 Sn 1.99
O2 0.0964 0.2876 0.6175 (multiplicity 8)  1 V 1.75
O3 0.1875 0.0605 0.9096 (multiplicity 8)  1 V 1.74

## Properties
- electronic total energy (eV/atom) = -6.52
- theoretical density (g cm⁻³) = 4.1
- DOS(E_F) (states/eV per atom) = 0.0000